Record 1
A plane-wave DFT calculation with meta-GGA SCAN was carried out for TaHRh3 at its PBEsol-relaxed geometry.

The total energy is -34.7880 eV/atom. Its energy above the most stable polymorph in this dataset is 0.00 eV/f.u. The calculation puts the total magnetic moment at 0.0 Bohr magnetons per cell. The density comes out at 13.8 g/cm3.

Unit cell a=3.892 b=3.892 c=3.892 alpha=90.00 beta=90.00 gamma=90.00
Fractional positions:
1 Ta 0.000 0.000 0.000
2 H 0.500 0.500 0.500
3 Rh 0.000 0.500 0.500
4 Rh 0.500 0.000 0.500
5 Rh 0.500 0.500 0.000



Record 2
A plane-wave DFT calculation with meta-GGA SCAN was carried out for TaHRh3 at its PBEsol-relaxed geometry.

The total energy is -32.6575 eV/atom. Its energy above the most stable polymorph in this dataset is 10.65 eV/f.u. The calculation puts the total magnetic moment at 1.2 Bohr magnetons per cell. The density comes out at 8.0 g/cm3.

Unit cell a=4.672 b=4.672 c=4.672 alpha=90.00 beta=90.00 gamma=90.00
Fractional positions:
1 Ta 0.000 0.000 0.000
2 H 0.500 0.500 0.500
3 Rh 0.000 0.000 0.500
4 Rh 0.000 0.500 0.000
5 Rh 0.500 0.000 0.000



Record 3
A plane-wave DFT calculation with meta-GGA SCAN was carried out for TcHRh3 at its PBEsol-relaxed geometry.

The total energy is -27.9045 eV/atom. The calculation puts the total magnetic moment at 0.0 Bohr magnetons per cell. The density comes out at 12.0 g/cm3.

Unit cell a=3.836 b=3.836 c=3.836 alpha=90.00 beta=90.00 gamma=90.00
Fractional positions:
1 Tc 0.000 0.000 0.000
2 H 0.500 0.500 0.500
3 Rh 0.000 0.500 0.500
4 Rh 0.500 0.000 0.500
5 Rh 0.500 0.500 0.000



Record 4
A plane-wave DFT calculation with meta-GGA SCAN was carried out for TeH3Rh at its PBEsol-relaxed geometry.

The total energy is -15.0901 eV/atom. The calculation puts the total magnetic moment at 0.5 Bohr magnetons per cell. The density comes out at 7.0 g/cm3.

Unit cell a=3.813 b=3.813 c=3.813 alpha=90.00 beta=90.00 gamma=90.00
Fractional positions:
1 Te 0.000 0.000 0.000
2 H 0.000 0.000 0.500
3 H 0.000 0.500 0.000
4 H 0.500 0.000 0.000
5 Rh 0.500 0.500 0.500



Record 5
A plane-wave DFT calculation with meta-GGA SCAN was carried out for TlTeHRh2 at its PBEsol-relaxed geometry.

The total energy is -34.9391 eV/atom. The calculation puts the total magnetic moment at 1.0 Bohr magnetons per cell. The density comes out at 6.3 g/cm3.

Unit cell a=4.790 b=4.790 c=6.221 alpha=90.00 beta=90.00 gamma=90.00
Fractional positions:
1 Tl 0.000 0.000 0.000
2 Te 0.000 0.000 0.500
3 H 0.500 0.500 0.000
4 Rh 0.000 0.500 0.500
5 Rh 0.500 0.000 0.500



Record 6
A plane-wave DFT calculation with meta-GGA SCAN was carried out for TiHRh3 at its PBEsol-relaxed geometry.

The total energy is -24.7691 eV/atom. The calculation puts the total magnetic moment at 0.0 Bohr magnetons per cell. The density comes out at 10.4 g/cm3.

Unit cell a=3.848 b=3.848 c=3.848 alpha=90.00 beta=90.00 gamma=90.00
Fractional positions:
1 Ti 0.000 0.000 0.000
2 H 0.500 0.500 0.500
3 Rh 0.000 0.500 0.500
4 Rh 0.500 0.000 0.500
5 Rh 0.500 0.500 0.000



Record 7
A plane-wave DFT calculation with meta-GGA SCAN was carried out for Ti2H2Rh at its PBEsol-relaxed geometry.

The total energy is -15.2176 eV/atom. The calculation puts the total magnetic moment at 0.2 Bohr magnetons per cell. The density comes out at 6.8 g/cm3.

Unit cell a=2.909 b=2.909 c=11.657 alpha=90.00 beta=90.00 gamma=90.00
Fractional positions:
1 Ti 0.000 0.000 0.144
2 Ti 0.000 0.000 0.856
3 Ti 0.500 0.500 0.356
4 Ti 0.500 0.500 0.644
5 H 0.000 0.500 0.250
6 H 0.000 0.500 0.750
7 H 0.500 0.000 0.250
8 H 0.500 0.000 0.750
9 Rh 0.000 0.000 0.500
10 Rh 0.500 0.500 0.000



Record 8
A plane-wave DFT calculation with meta-GGA SCAN was carried out for TiH2Rh2 at its PBEsol-relaxed geometry.

The total energy is -18.5030 eV/atom. The calculation puts the total magnetic moment at 0.0 Bohr magnetons per cell. The density comes out at 8.8 g/cm3.

Unit cell a=3.097 b=3.097 c=10.110 alpha=90.00 beta=90.00 gamma=90.00
Fractional positions:
1 Ti 0.000 0.000 0.000
2 Ti 0.500 0.500 0.500
3 H 0.000 0.500 0.250
4 H 0.000 0.500 0.750
5 H 0.500 0.000 0.250
6 H 0.500 0.000 0.750
7 Rh 0.000 0.000 0.359
8 Rh 0.000 0.000 0.641
9 Rh 0.500 0.500 0.141
10 Rh 0.500 0.500 0.859



Record 9
A plane-wave DFT calculation with meta-GGA SCAN was carried out for VHRh3 at its PBEsol-relaxed geometry.

The total energy is -24.7522 eV/atom. The calculation puts the total magnetic moment at 0.3 Bohr magnetons per cell. The density comes out at 10.8 g/cm3.

Unit cell a=3.811 b=3.811 c=3.811 alpha=90.00 beta=90.00 gamma=90.00
Fractional positions:
1 V 0.000 0.000 0.000
2 H 0.500 0.500 0.500
3 Rh 0.000 0.500 0.500
4 Rh 0.500 0.000 0.500
5 Rh 0.500 0.500 0.000



Record 10
A plane-wave DFT calculation with meta-GGA SCAN was carried out for Zn2HRhW at its PBEsol-relaxed geometry.

The total energy is -25.0365 eV/atom. The calculation puts the total magnetic moment at 1.4 Bohr magnetons per cell. The density comes out at 6.1 g/cm3.

Unit cell a=4.993 b=4.993 c=4.546 alpha=90.00 beta=90.00 gamma=90.00
Fractional positions:
1 Zn 0.000 0.500 0.000
2 Zn 0.500 0.000 0.000
3 H 0.000 0.000 0.500
4 Rh 0.500 0.500 0.500
5 W 0.500 0.500 0.000



Record 11
A plane-wave DFT calculation with meta-GGA SCAN was carried out for Y3HRh at its PBEsol-relaxed geometry.

The total energy is -24.4234 eV/atom. The calculation puts the total magnetic moment at 0.0 Bohr magnetons per cell. The density comes out at 6.3 g/cm3.

Unit cell a=4.607 b=4.607 c=4.607 alpha=90.00 beta=90.00 gamma=90.00
Fractional positions:
1 Y 0.000 0.000 0.500
2 Y 0.000 0.500 0.000
3 Y 0.500 0.000 0.000
4 H 0.000 0.000 0.000
5 Rh 0.500 0.500 0.500



Record 12
A plane-wave DFT calculation with meta-GGA SCAN was carried out for YH2Rh2 at its PBEsol-relaxed geometry.

The total energy is -20.8440 eV/atom. The calculation puts the total magnetic moment at 0.0 Bohr magnetons per cell. The density comes out at 8.7 g/cm3.

Unit cell a=3.563 b=3.563 c=8.961 alpha=90.00 beta=90.00 gamma=90.00
Fractional positions:
1 Y 0.000 0.000 0.000
2 Y 0.500 0.500 0.500
3 H 0.000 0.500 0.250
4 H 0.000 0.500 0.750
5 H 0.500 0.000 0.250
6 H 0.500 0.000 0.750
7 Rh 0.000 0.000 0.331
8 Rh 0.000 0.000 0.669
9 Rh 0.500 0.500 0.169
10 Rh 0.500 0.500 0.831



Record 13
A plane-wave DFT calculation with meta-GGA SCAN was carried out for Y2H2Rh at its PBEsol-relaxed geometry.

The total energy is -20.1145 eV/atom. The calculation puts the total magnetic moment at 0.0 Bohr magnetons per cell. The density comes out at 6.5 g/cm3.

Unit cell a=3.395 b=3.395 c=12.493 alpha=90.00 beta=90.00 gamma=90.00
Fractional positions:
1 Y 0.000 0.000 0.137
2 Y 0.000 0.000 0.863
3 Y 0.500 0.500 0.363
4 Y 0.500 0.500 0.637
5 H 0.000 0.500 0.250
6 H 0.000 0.500 0.750
7 H 0.500 0.000 0.250
8 H 0.500 0.000 0.750
9 Rh 0.000 0.000 0.500
10 Rh 0.500 0.500 0.000



Record 14
A plane-wave DFT calculation with meta-GGA SCAN was carried out for ZnHRh3 at its PBEsol-relaxed geometry.

The total energy is -23.7884 eV/atom. The calculation puts the total magnetic moment at 0.0 Bohr magnetons per cell. The density comes out at 11.1 g/cm3.

Unit cell a=3.829 b=3.829 c=3.829 alpha=90.00 beta=90.00 gamma=90.00
Fractional positions:
1 Zn 0.000 0.000 0.000
2 H 0.500 0.500 0.500
3 Rh 0.000 0.500 0.500
4 Rh 0.500 0.000 0.500
5 Rh 0.500 0.500 0.000



Record 15
A plane-wave DFT calculation with meta-GGA SCAN was carried out for Zn2HRh at its PBEsol-relaxed geometry.

The total energy is -15.6004 eV/atom. The calculation puts the total magnetic moment at 0.0 Bohr magnetons per cell. The density comes out at 8.0 g/cm3.

Unit cell a=5.791 b=5.791 c=5.791 alpha=90.00 beta=90.00 gamma=90.00
Fractional positions:
1 Zn 0.250 0.250 0.250
2 Zn 0.250 0.250 0.750
3 Zn 0.250 0.750 0.250
4 Zn 0.250 0.750 0.750
5 Zn 0.750 0.250 0.250
6 Zn 0.750 0.250 0.750
7 Zn 0.750 0.750 0.250
8 Zn 0.750 0.750 0.750
9 H 0.000 0.000 0.000
10 H 0.000 0.500 0.500
11 H 0.500 0.000 0.500
12 H 0.500 0.500 0.000
13 Rh 0.000 0.000 0.500
14 Rh 0.000 0.500 0.000
15 Rh 0.500 0.000 0.000
16 Rh 0.500 0.500 0.500



Record 16
A plane-wave DFT calculation with meta-GGA SCAN was carried out for ZrHRh3 at its PBEsol-relaxed geometry.

The total energy is -27.8014 eV/atom. The calculation puts the total magnetic moment at 0.0 Bohr magnetons per cell. The density comes out at 10.9 g/cm3.

Unit cell a=3.944 b=3.944 c=3.944 alpha=90.00 beta=90.00 gamma=90.00
Fractional positions:
1 Zr 0.000 0.000 0.000
2 H 0.500 0.500 0.500
3 Rh 0.000 0.500 0.500
4 Rh 0.500 0.000 0.500
5 Rh 0.500 0.500 0.000



Record 17
A plane-wave DFT calculation with meta-GGA SCAN was carried out for H2RuS at its PBEsol-relaxed geometry.

The total energy is -12.4568 eV/atom. The calculation puts the total magnetic moment at 0.0 Bohr magnetons per cell. The density comes out at 6.1 g/cm3.

Unit cell a=3.356 b=3.356 c=13.097 alpha=90.00 beta=90.00 gamma=90.00
Fractional positions:
1 H 0.000 0.000 0.000
2 H 0.000 0.500 0.000
3 H 0.250 0.250 0.750
4 H 0.250 0.750 0.250
5 H 0.500 0.000 0.500
6 H 0.500 0.500 0.500
7 H 0.750 0.250 0.750
8 H 0.750 0.750 0.250
9 Ru 0.000 0.250 0.875
10 Ru 0.000 0.750 0.125
11 Ru 0.500 0.250 0.625
12 Ru 0.500 0.750 0.375
13 S 0.000 0.250 0.375
14 S 0.000 0.750 0.625
15 S 0.500 0.250 0.125
16 S 0.500 0.750 0.875



Record 18
A plane-wave DFT calculation with meta-GGA SCAN was carried out for SbHRu2 at its PBEsol-relaxed geometry.

The total energy is -26.9927 eV/atom. The calculation puts the total magnetic moment at 0.0 Bohr magnetons per cell. The density comes out at 10.1 g/cm3.

Unit cell a=5.981 b=5.981 c=5.981 alpha=90.00 beta=90.00 gamma=90.00
Fractional positions:
1 Sb 0.000 0.000 0.000
2 Sb 0.000 0.500 0.500
3 Sb 0.500 0.000 0.500
4 Sb 0.500 0.500 0.000
5 H 0.000 0.000 0.500
6 H 0.000 0.500 0.000
7 H 0.500 0.000 0.000
8 H 0.500 0.500 0.500
9 Ru 0.250 0.250 0.250
10 Ru 0.250 0.250 0.750
11 Ru 0.250 0.750 0.250
12 Ru 0.250 0.750 0.750
13 Ru 0.750 0.250 0.250
14 Ru 0.750 0.250 0.750
15 Ru 0.750 0.750 0.250
16 Ru 0.750 0.750 0.750



Record 19
A plane-wave DFT calculation with meta-GGA SCAN was carried out for YSbHRu2 at its PBEsol-relaxed geometry.

The total energy is -27.8792 eV/atom. The calculation puts the total magnetic moment at 0.0 Bohr magnetons per cell. The density comes out at 9.5 g/cm3.

Unit cell a=4.226 b=4.226 c=4.037 alpha=90.00 beta=90.00 gamma=90.00
Fractional positions:
1 Y 0.000 0.000 0.000
2 Sb 0.500 0.500 0.000
3 H 0.000 0.000 0.500
4 Ru 0.000 0.500 0.500
5 Ru 0.500 0.000 0.500



Record 20
A plane-wave DFT calculation with meta-GGA SCAN was carried out for ScH3Ru at its PBEsol-relaxed geometry.

The total energy is -12.3187 eV/atom. The calculation puts the total magnetic moment at 0.2 Bohr magnetons per cell. The density comes out at 5.9 g/cm3.

Unit cell a=3.475 b=3.475 c=3.475 alpha=90.00 beta=90.00 gamma=90.00
Fractional positions:
1 Sc 0.000 0.000 0.000
2 H 0.000 0.500 0.500
3 H 0.500 0.000 0.500
4 H 0.500 0.500 0.000
5 Ru 0.500 0.500 0.500